# 1
A plane-wave DFT calculation with GGA-PBE was carried out for SrPmMg4 after structural relaxation.

## Properties
Formation energy = -0.08 eV per atom
E = -2.212 eV per atom
Density of states at the Fermi level = 4.720 states/eV/cell
Space group = F-43m (216)

a b c (Å): 6.258 6.258 6.258
angles (deg): 60.00 60.00 60.00
Fractional positions:
Sr1 0.250 0.250 0.250
Pm1 0.000 0.000 0.000
Mg1 0.121 0.626 0.626
Mg2 0.626 0.626 0.626
Mg3 0.626 0.626 0.121
Mg4 0.626 0.121 0.626



# 2
A plane-wave DFT calculation with GGA-PBE was carried out for SrPm2Mg after structural relaxation.

## Properties
Formation energy = 0.04 eV per atom
E = -3.152 eV per atom
Density of states at the Fermi level = 4.206 states/eV/cell
Space group = P4/mmm (123)
Polymorph energy (0 for the lowest one) = 0.000 eV per atom

a b c (Å): 3.922 3.922 9.350
angles (deg): 90.00 90.00 90.00
Fractional positions:
Sr1 0.500 0.500 0.500
Pm1 0.000 0.000 0.193
Pm2 0.000 0.000 0.807
Mg1 0.500 0.500 0.000



# 3
A plane-wave DFT calculation with GGA-PBE was carried out for Sr2PmMg9 after structural relaxation.

## Properties
Formation energy = -0.05 eV per atom
E = -1.923 eV per atom
Density of states at the Fermi level = 11.023 states/eV/cell
Space group = R-3m (166)

a b c (Å): 6.238 6.238 10.741
angles (deg): 73.12 73.12 60.00
Fractional positions:
Sr1 0.141 0.141 0.577
Sr2 0.859 0.859 0.423
Mg1 0.419 0.419 0.241
Mg2 0.666 0.666 0.001
Mg3 0.079 0.581 0.759
Mg4 0.334 0.334 0.999
Mg5 0.921 0.419 0.241
Mg6 0.581 0.581 0.759
Mg7 0.581 0.079 0.759
Mg8 0.419 0.921 0.241
Mg9 0.500 0.500 0.500
Pm1 0.000 0.000 0.000



# 4
A plane-wave DFT calculation with GGA-PBE was carried out for SrPm4Mg5 after structural relaxation.

## Properties
Formation energy = -0.09 eV per atom
E = -2.956 eV per atom
Density of states at the Fermi level = 10.292 states/eV/cell
Space group = P4/mmm (123)

a b c (Å): 3.911 3.911 19.798
angles (deg): 90.00 90.00 90.00
Fractional positions:
Mg1 0.500 0.500 0.308
Mg2 0.500 0.500 0.116
Mg3 0.500 0.500 0.884
Mg4 0.500 0.500 0.692
Mg5 0.500 0.500 0.500
Sr1 0.000 0.000 0.000
Pm1 0.000 0.000 0.596
Pm2 0.000 0.000 0.213
Pm3 0.000 0.000 0.787
Pm4 0.000 0.000 0.404



# 5
A plane-wave DFT calculation with GGA-PBE was carried out for SrPmMg after structural relaxation.

## Properties
Formation energy = 0.15 eV per atom
E = -2.528 eV per atom
Density of states at the Fermi level = 3.943 states/eV/cell
Space group = P3m1 (156)
Polymorph energy (0 for the lowest one) = 0.120 eV per atom

a b c (Å): 3.590 5.809 5.809
angles (deg): 120.00 90.00 90.00
Fractional positions:
Pm1 0.029 0.000 0.000
Mg1 0.335 0.333 0.667
Sr1 0.636 0.667 0.333



# 6
A plane-wave DFT calculation with GGA-PBE was carried out for SrPm2Mg after structural relaxation.

## Properties
Formation energy = 0.14 eV per atom
E = -3.054 eV per atom
Density of states at the Fermi level = 4.200 states/eV/cell
Space group = Fm-3m (225)
Polymorph energy (0 for the lowest one) = 0.099 eV per atom

a b c (Å): 5.797 5.797 5.797
angles (deg): 60.00 60.00 60.00
Fractional positions:
Sr1 0.000 0.000 0.000
Mg1 0.500 0.500 0.500
Pm1 0.250 0.250 0.250
Pm2 0.750 0.750 0.750